Computed, not measured: AlP2Rh after structural relaxation at the GGA-PBEsol level of DFT.

Geometry as POSCAR:
```
AlP2Rh
1.0
-1.171 -3.086 -0.964
0.670 0.580 3.463
-5.288 2.348 -1.093
P Rh Al
2 1 1
Cartesian
-4.622 -0.224 0.198
-1.167 0.066 1.208
-0.586 -1.543 -0.482
-2.644 1.174 -0.547
```

Results
For the formation energy from the elements, the calculation gives -0.32 eV per atom. As for the symmetry: C2/m (12).